VASP calculation (PBE) on a relaxed Co3RuI crystal.

Summary:
* energy relative to the lowest polymorph listed for this composition: 0 kJ/mol of formula units
* crystal system: cubic

Unit cell a=4.632 b=4.632 c=4.632 alpha=90.00 beta=90.00 gamma=90.00
Sites, in units of the cell vectors:
Co: 0.000 0.000 0.500
Co: 0.000 0.500 0.000
Co: 0.500 0.000 0.000
Ru: 0.000 0.000 0.000
I: 0.500 0.500 0.500



VASP calculation (PBE) on a relaxed Co3RuI crystal.

Summary:
* energy relative to the lowest polymorph listed for this composition: 172 kJ/mol of formula units
* crystal system: cubic

Unit cell a=4.543 b=4.543 c=4.543 alpha=90.00 beta=90.00 gamma=90.00
Sites, in units of the cell vectors:
Co: 0.000 0.000 0.500
Co: 0.000 0.500 0.000
Co: 0.500 0.000 0.000
Ru: 0.500 0.500 0.500
I: 0.000 0.000 0.000



VASP calculation (PBE) on a relaxed Co2RuI8 crystal.

Summary:
* crystal system: monoclinic

Unit cell a=8.562 b=8.562 c=6.751 alpha=90.13 beta=90.13 gamma=65.63
Sites, in units of the cell vectors:
Co: 0.166 0.166 0.091
Co: 0.834 0.834 0.909
Ru: 0.000 0.000 0.500
I: 0.126 0.721 0.738
I: 0.160 0.160 0.715
I: 0.279 0.874 0.262
I: 0.334 0.334 0.169
I: 0.666 0.666 0.831
I: 0.721 0.126 0.738
I: 0.840 0.840 0.285
I: 0.874 0.279 0.262



Number 1: formation energy (no corrections) 1.4279 eV per atom, electronic total energy -25.00 eV for the cell shown, density 6.8 g/cm³. Number 2: formation energy (no corrections) 1.7841 eV per atom, electronic total energy -23.22 eV for the cell shown, density 7.2 g/cm³. Number 3: formation energy (no corrections) -0.0159 eV per atom, electronic total energy -36.06 eV for the cell shown, density 4.5 g/cm³.